[1]
TbEr2Cd3Au3 | PBE | relaxed

Unit cell a=3.902 b=7.780 c=7.780 alpha=120.18 beta=90.00 gamma=90.00
Positions (direct):
1 Tb 0.000 0.000 0.000
2 Er 0.000 0.403 0.806
3 Er 0.000 0.806 0.403
4 Cd 0.500 0.140 0.403
5 Cd 0.500 0.403 0.140
6 Cd 0.500 0.665 0.665
7 Au 0.000 0.404 0.404
8 Au 0.500 0.070 0.734
9 Au 0.500 0.734 0.070

Results
- calculated volume (Å³ per cell) = 204
- ΔH_f (0 K) (eV/atom) = -0.662
- raw total energy (eV/atom) = -3.578

***

[2]
TbErCd2Au4 | PBE | relaxed

Unit cell a=4.924 b=4.924 c=6.962 alpha=90.00 beta=90.00 gamma=90.00
Positions (direct):
1 Tb 0.000 0.000 0.000
2 Er 0.500 0.500 0.500
3 Cd 0.000 0.000 0.500
4 Cd 0.500 0.500 0.000
5 Au 0.000 0.500 0.254
6 Au 0.000 0.500 0.746
7 Au 0.500 0.000 0.254
8 Au 0.500 0.000 0.746

Results
- calculated volume (Å³ per cell) = 169
- ΔH_f (0 K) (eV/atom) = -0.680
- raw total energy (eV/atom) = -3.686

***

[3]
CdAu2F8 | PBE | relaxed

Unit cell a=5.457 b=5.457 c=10.198 alpha=90.00 beta=90.00 gamma=90.00
Positions (direct):
1 Cd 0.000 0.000 0.250
2 Cd 0.000 0.000 0.750
3 Au 0.000 0.500 0.000
4 Au 0.000 0.500 0.500
5 Au 0.500 0.000 0.000
6 Au 0.500 0.000 0.500
7 F 0.180 0.316 0.134
8 F 0.180 0.316 0.866
9 F 0.180 0.684 0.366
10 F 0.180 0.684 0.634
11 F 0.316 0.180 0.366
12 F 0.316 0.180 0.634
13 F 0.316 0.820 0.134
14 F 0.316 0.820 0.866
15 F 0.684 0.180 0.134
16 F 0.684 0.180 0.866
17 F 0.684 0.820 0.366
18 F 0.684 0.820 0.634
19 F 0.820 0.316 0.366
20 F 0.820 0.316 0.634
21 F 0.820 0.684 0.134
22 F 0.820 0.684 0.866

Results
- calculated volume (Å³ per cell) = 304
- raw total energy (eV/atom) = -3.360

***

[4]
CdTe2Au2F2 | PBE | relaxed

Unit cell a=3.894 b=3.894 c=9.262 alpha=90.00 beta=90.00 gamma=90.00
Positions (direct):
1 Cd 0.000 0.000 0.000
2 Te 0.000 0.500 0.764
3 Te 0.500 0.000 0.236
4 Au 0.000 0.500 0.329
5 Au 0.500 0.000 0.671
6 F 0.000 0.000 0.500
7 F 0.500 0.500 0.500

Results
- calculated volume (Å³ per cell) = 140
- raw total energy (eV/atom) = -2.875

***

[5]
Cd2Te2AuF2 | PBE | relaxed

Unit cell a=3.870 b=3.870 c=9.812 alpha=90.00 beta=90.00 gamma=90.00
Positions (direct):
1 Cd 0.000 0.500 0.141
2 Cd 0.500 0.000 0.859
3 Te 0.000 0.500 0.697
4 Te 0.500 0.000 0.303
5 Au 0.500 0.500 0.500
6 F 0.000 0.000 0.000
7 F 0.500 0.500 0.000

Results
- calculated volume (Å³ per cell) = 147
- raw total energy (eV/atom) = -3.066

***

[6]
CdFe3Au | PBE | relaxed

Unit cell a=5.023 b=5.023 c=7.088 alpha=90.00 beta=90.00 gamma=120.00
Positions (direct):
1 Cd 0.000 0.000 0.206
2 Cd 0.000 0.000 0.794
3 Fe 0.000 0.499 0.339
4 Fe 0.000 0.501 0.661
5 Fe 0.499 0.000 0.339
6 Fe 0.499 0.499 0.661
7 Fe 0.501 0.000 0.661
8 Fe 0.501 0.501 0.339
9 Au 0.333 0.667 0.000
10 Au 0.667 0.333 0.000

Results
- calculated volume (Å³ per cell) = 155
- ΔH_f (0 K) (eV/atom) = 0.363
- raw total energy (eV/atom) = -5.455

***

[7]
CdGaFeAu | PBE | relaxed

Unit cell a=6.442 b=6.442 c=6.442 alpha=90.00 beta=90.00 gamma=90.00
Positions (direct):
1 Cd 0.000 0.000 0.000
2 Cd 0.000 0.500 0.500
3 Cd 0.500 0.000 0.500
4 Cd 0.500 0.500 0.000
5 Ga 0.000 0.000 0.500
6 Ga 0.000 0.500 0.000
7 Ga 0.500 0.000 0.000
8 Ga 0.500 0.500 0.500
9 Fe 0.250 0.250 0.750
10 Fe 0.250 0.750 0.250
11 Fe 0.750 0.250 0.250
12 Fe 0.750 0.750 0.750
13 Au 0.250 0.250 0.250
14 Au 0.250 0.750 0.750
15 Au 0.750 0.250 0.750
16 Au 0.750 0.750 0.250

Results
- polymorph energy (0 for the lowest one) (meV/atom) = 0
- calculated volume (Å³ per cell) = 267
- raw total energy (eV/atom) = -3.736

***

[8]
CdFeReAu | PBE | relaxed

Unit cell a=6.368 b=6.368 c=6.368 alpha=90.00 beta=90.00 gamma=90.00
Positions (direct):
1 Cd 0.000 0.000 0.000
2 Cd 0.000 0.500 0.500
3 Cd 0.500 0.000 0.500
4 Cd 0.500 0.500 0.000
5 Fe 0.250 0.250 0.750
6 Fe 0.250 0.750 0.250
7 Fe 0.750 0.250 0.250
8 Fe 0.750 0.750 0.750
9 Re 0.000 0.000 0.500
10 Re 0.000 0.500 0.000
11 Re 0.500 0.000 0.000
12 Re 0.500 0.500 0.500
13 Au 0.250 0.250 0.250
14 Au 0.250 0.750 0.750
15 Au 0.750 0.250 0.750
16 Au 0.750 0.750 0.250

Results
- polymorph energy (0 for the lowest one) (meV/atom) = 0
- calculated volume (Å³ per cell) = 258
- ΔH_f (0 K) (eV/atom) = 0.640
- raw total energy (eV/atom) = -5.584

***

[9]
ZnCdFeAu | PBE | relaxed

Unit cell a=6.417 b=6.417 c=6.417 alpha=90.00 beta=90.00 gamma=90.00
Positions (direct):
1 Zn 0.000 0.000 0.000
2 Zn 0.000 0.500 0.500
3 Zn 0.500 0.000 0.500
4 Zn 0.500 0.500 0.000
5 Cd 0.250 0.250 0.750
6 Cd 0.250 0.750 0.250
7 Cd 0.750 0.250 0.250
8 Cd 0.750 0.750 0.750
9 Fe 0.250 0.250 0.250
10 Fe 0.250 0.750 0.750
11 Fe 0.750 0.250 0.750
12 Fe 0.750 0.750 0.250
13 Au 0.000 0.000 0.500
14 Au 0.000 0.500 0.000
15 Au 0.500 0.000 0.000
16 Au 0.500 0.500 0.500

Results
- calculated volume (Å³ per cell) = 264
- ΔH_f (0 K) (eV/atom) = 0.143
- raw total energy (eV/atom) = -3.291

***

[10]
Cd2GaAu | PBE | relaxed

Unit cell a=6.894 b=6.894 c=6.894 alpha=90.00 beta=90.00 gamma=90.00
Positions (direct):
1 Cd 0.000 0.000 0.000
2 Cd 0.000 0.500 0.500
3 Cd 0.250 0.250 0.250
4 Cd 0.250 0.750 0.750
5 Cd 0.500 0.000 0.500
6 Cd 0.500 0.500 0.000
7 Cd 0.750 0.250 0.750
8 Cd 0.750 0.750 0.250
9 Ga 0.000 0.000 0.500
10 Ga 0.000 0.500 0.000
11 Ga 0.500 0.000 0.000
12 Ga 0.500 0.500 0.500
13 Au 0.250 0.250 0.750
14 Au 0.250 0.750 0.250
15 Au 0.750 0.250 0.250
16 Au 0.750 0.750 0.750

Results
- calculated volume (Å³ per cell) = 328
- raw total energy (eV/atom) = -2.032

***

[11]
CdGa2Au | PBE | relaxed

Unit cell a=6.813 b=6.813 c=6.813 alpha=90.00 beta=90.00 gamma=90.00
Positions (direct):
1 Cd 0.000 0.000 0.000
2 Cd 0.000 0.500 0.500
3 Cd 0.500 0.000 0.500
4 Cd 0.500 0.500 0.000
5 Ga 0.000 0.000 0.500
6 Ga 0.000 0.500 0.000
7 Ga 0.250 0.250 0.250
8 Ga 0.250 0.750 0.750
9 Ga 0.500 0.000 0.000
10 Ga 0.500 0.500 0.500
11 Ga 0.750 0.250 0.750
12 Ga 0.750 0.750 0.250
13 Au 0.250 0.250 0.750
14 Au 0.250 0.750 0.250
15 Au 0.750 0.250 0.250
16 Au 0.750 0.750 0.750

Results
- calculated volume (Å³ per cell) = 316
- raw total energy (eV/atom) = -2.565

***

[12]
CdGaAu2 | PBE | relaxed

Unit cell a=6.719 b=6.719 c=6.719 alpha=90.00 beta=90.00 gamma=90.00
Positions (direct):
1 Cd 0.000 0.000 0.000
2 Cd 0.000 0.500 0.500
3 Cd 0.500 0.000 0.500
4 Cd 0.500 0.500 0.000
5 Ga 0.250 0.250 0.750
6 Ga 0.250 0.750 0.250
7 Ga 0.750 0.250 0.250
8 Ga 0.750 0.750 0.750
9 Au 0.000 0.000 0.500
10 Au 0.000 0.500 0.000
11 Au 0.250 0.250 0.250
12 Au 0.250 0.750 0.750
13 Au 0.500 0.000 0.000
14 Au 0.500 0.500 0.500
15 Au 0.750 0.250 0.750
16 Au 0.750 0.750 0.250

Results
- calculated volume (Å³ per cell) = 303
- raw total energy (eV/atom) = -2.666

***

[13]
Gd3Cd3GaAu2 | PBE | relaxed

Unit cell a=7.620 b=7.620 c=4.111 alpha=90.00 beta=90.00 gamma=120.00
Positions (direct):
1 Gd 0.000 0.586 0.000
2 Gd 0.414 0.414 0.000
3 Gd 0.586 0.000 0.000
4 Cd 0.000 0.248 0.500
5 Cd 0.248 0.000 0.500
6 Cd 0.752 0.752 0.500
7 Ga 0.000 0.000 0.000
8 Au 0.333 0.667 0.500
9 Au 0.667 0.333 0.500

Results
- calculated volume (Å³ per cell) = 207
- raw total energy (eV/atom) = -3.527

***

[14]
Gd3Cd3Ga2Au | PBE | relaxed

Unit cell a=7.381 b=7.381 c=4.374 alpha=90.00 beta=90.00 gamma=120.00
Positions (direct):
1 Gd 0.000 0.588 0.000
2 Gd 0.412 0.412 0.000
3 Gd 0.588 0.000 0.000
4 Cd 0.000 0.253 0.500
5 Cd 0.253 0.000 0.500
6 Cd 0.747 0.747 0.500
7 Ga 0.333 0.667 0.500
8 Ga 0.667 0.333 0.500
9 Au 0.000 0.000 0.000

Results
- calculated volume (Å³ per cell) = 206
- raw total energy (eV/atom) = -3.472

***

[15]
Nd2GdCd3Ga2Au | PBE | relaxed

Unit cell a=4.412 b=7.472 c=7.472 alpha=119.93 beta=90.00 gamma=90.00
Positions (direct):
1 Nd 0.000 0.206 0.794
2 Nd 0.000 0.794 0.206
3 Gd 0.000 0.382 0.382
4 Cd 0.500 0.047 0.047
5 Cd 0.500 0.541 0.792
6 Cd 0.500 0.792 0.541
7 Ga 0.500 0.129 0.459
8 Ga 0.500 0.459 0.129
9 Au 0.000 0.790 0.790

Results
- calculated volume (Å³ per cell) = 214
- raw total energy (eV/atom) = -3.488

***

[16]
Gd3Cd3GaPtAu | PBE | relaxed

Unit cell a=7.705 b=7.705 c=3.978 alpha=90.00 beta=90.00 gamma=120.00
Positions (direct):
1 Gd 0.019 0.603 0.000
2 Gd 0.397 0.415 0.000
3 Gd 0.585 0.981 0.000
4 Cd 0.267 0.007 0.500
5 Cd 0.740 0.733 0.500
6 Cd 0.993 0.260 0.500
7 Ga 0.667 0.333 0.500
8 Pt 0.333 0.667 0.500
9 Au 0.000 0.000 0.000

Results
- calculated volume (Å³ per cell) = 205
- raw total energy (eV/atom) = -3.917

***

[17]
SmGd2Cd3Ga2Au | PBE | relaxed

Unit cell a=4.380 b=7.427 c=7.427 alpha=120.12 beta=90.00 gamma=90.00
Positions (direct):
1 Sm 0.000 0.000 0.000
2 Gd 0.000 0.413 0.825
3 Gd 0.000 0.825 0.413
4 Cd 0.500 0.160 0.415
5 Cd 0.500 0.415 0.160
6 Cd 0.500 0.666 0.666
7 Ga 0.500 0.081 0.745
8 Ga 0.500 0.745 0.081
9 Au 0.000 0.417 0.417

Results
- calculated volume (Å³ per cell) = 209
- raw total energy (eV/atom) = -3.478

***

[18]
Gd2YCd3Ga2Au | PBE | relaxed

Unit cell a=4.358 b=7.386 c=7.386 alpha=119.90 beta=90.00 gamma=90.00
Positions (direct):
1 Gd 0.000 0.206 0.794
2 Gd 0.000 0.794 0.206
3 Y 0.000 0.380 0.380
4 Cd 0.500 0.048 0.048
5 Cd 0.500 0.539 0.793
6 Cd 0.500 0.793 0.539
7 Ga 0.500 0.127 0.460
8 Ga 0.500 0.460 0.127
9 Au 0.000 0.793 0.793

Results
- calculated volume (Å³ per cell) = 206
- raw total energy (eV/atom) = -3.677

***

[19]
Li2Cd2InGaAu2 | PBE | relaxed

Unit cell a=4.676 b=4.676 c=6.617 alpha=90.00 beta=90.00 gamma=90.00
Positions (direct):
1 Li 0.000 0.500 0.234
2 Li 0.500 0.000 0.766
3 Cd 0.000 0.000 0.000
4 Cd 0.500 0.500 0.500
5 In 0.000 0.000 0.500
6 Ga 0.500 0.500 0.000
7 Au 0.000 0.500 0.765
8 Au 0.500 0.000 0.235

Results
- calculated volume (Å³ per cell) = 145
- raw total energy (eV/atom) = -2.564

***

[20]
LaCd2GaAu | PBE | relaxed

Unit cell a=4.371 b=4.371 c=12.206 alpha=90.00 beta=90.00 gamma=90.00
Positions (direct):
1 La 0.000 0.000 0.000
2 La 0.500 0.500 0.500
3 Cd 0.000 0.500 0.255
4 Cd 0.000 0.500 0.755
5 Cd 0.500 0.000 0.255
6 Cd 0.500 0.000 0.755
7 Ga 0.000 0.000 0.394
8 Ga 0.500 0.500 0.894
9 Au 0.000 0.000 0.601
10 Au 0.500 0.500 0.101

Results
- calculated volume (Å³ per cell) = 233
- raw total energy (eV/atom) = -3.100

***

[21]
La2YCd3Ga2Au | PBE | relaxed

Unit cell a=4.486 b=7.538 c=7.538 alpha=119.95 beta=90.00 gamma=90.00
Positions (direct):
1 La 0.000 0.206 0.794
2 La 0.000 0.794 0.206
3 Y 0.000 0.381 0.381
4 Cd 0.500 0.046 0.046
5 Cd 0.500 0.541 0.789
6 Cd 0.500 0.789 0.541
7 Ga 0.500 0.133 0.457
8 Ga 0.500 0.457 0.133
9 Au 0.000 0.786 0.786

Results
- calculated volume (Å³ per cell) = 221
- raw total energy (eV/atom) = -3.726

***

[22]
Li4CdGa2Au | PBE | relaxed

Unit cell a=4.452 b=4.452 c=6.330 alpha=90.00 beta=90.00 gamma=90.00
Positions (direct):
1 Li 0.000 0.000 0.000
2 Li 0.000 0.500 0.737
3 Li 0.500 0.000 0.263
4 Li 0.500 0.500 0.500
5 Cd 0.500 0.500 0.000
6 Ga 0.000 0.500 0.265
7 Ga 0.500 0.000 0.735
8 Au 0.000 0.000 0.500

Results
- calculated volume (Å³ per cell) = 125
- raw total energy (eV/atom) = -2.633

***

[23]
Li2Cd2Ga2PdAu | PBE | relaxed

Unit cell a=4.533 b=4.533 c=6.439 alpha=90.00 beta=90.00 gamma=90.00
Positions (direct):
1 Li 0.000 0.000 0.000
2 Li 0.500 0.500 0.500
3 Cd 0.000 0.500 0.243
4 Cd 0.500 0.000 0.757
5 Ga 0.000 0.500 0.762
6 Ga 0.500 0.000 0.238
7 Pd 0.500 0.500 0.000
8 Au 0.000 0.000 0.500

Results
- calculated volume (Å³ per cell) = 132
- raw total energy (eV/atom) = -2.903

***

[24]
Na2Mg2CdGaAu2 | PBE | relaxed

Unit cell a=4.759 b=4.759 c=6.814 alpha=90.00 beta=90.00 gamma=90.00
Positions (direct):
1 Na 0.000 0.500 0.244
2 Na 0.500 0.000 0.756
3 Mg 0.000 0.000 0.000
4 Mg 0.500 0.500 0.500
5 Cd 0.000 0.000 0.500
6 Ga 0.500 0.500 0.000
7 Au 0.000 0.500 0.765
8 Au 0.500 0.000 0.235

Results
- calculated volume (Å³ per cell) = 154
- raw total energy (eV/atom) = -2.286

***

[25]
Nd3Cd3GaAu2 | PBE | relaxed

Unit cell a=7.995 b=7.995 c=3.972 alpha=90.00 beta=90.00 gamma=120.00
Positions (direct):
1 Nd 0.000 0.595 0.000
2 Nd 0.405 0.405 0.000
3 Nd 0.595 0.000 0.000
4 Cd 0.000 0.257 0.500
5 Cd 0.257 0.000 0.500
6 Cd 0.743 0.743 0.500
7 Ga 0.000 0.000 0.000
8 Au 0.333 0.667 0.500
9 Au 0.667 0.333 0.500

Results
- calculated volume (Å³ per cell) = 220
- raw total energy (eV/atom) = -3.557